[1]
LiMg2Ge: relaxed, PBE.

Values from the calculation:
The calculation puts the formation energy from the elements at -0.12 eV per atom.

Structure (CIF):
```
data_LiMg2Ge
_chemical_formula_sum 'Li1 Mg2 Ge1'
_cell_length_a 3.573
_cell_length_b 3.573
_cell_length_c 6.085
_cell_angle_alpha 90.00
_cell_angle_beta 90.00
_cell_angle_gamma 90.00
_symmetry_space_group_name_H-M 'P 1'
_symmetry_Int_Tables_number 1
loop_
_symmetry_equiv_pos_as_xyz
'x,y,z'
loop_
_atom_site_label
_atom_site_type_symbol
_atom_site_fract_x
_atom_site_fract_y
_atom_site_fract_z
_atom_site_occupancy
Ge1 Ge 0.500 0.500 0.500 1
Mg1 Mg 0.000 0.000 0.743 1
Mg2 Mg 0.000 0.000 0.257 1
Li1 Li 0.500 0.500 0.000 1
```

=====

[2]
Pm4TeCSe2: relaxed, PBE.

Values from the calculation:
The energy relative to the elements, uncorrected is -1.22 eV per atom.

Structure (CIF):
```
data_Pm4TeCSe2
_chemical_formula_sum 'Pm4 Te1 C1 Se2'
_cell_length_a 5.922
_cell_length_b 5.922
_cell_length_c 7.312
_cell_angle_alpha 113.89
_cell_angle_beta 113.89
_cell_angle_gamma 90.00
_symmetry_space_group_name_H-M 'P 1'
_symmetry_Int_Tables_number 1
loop_
_symmetry_equiv_pos_as_xyz
'x,y,z'
loop_
_atom_site_label
_atom_site_type_symbol
_atom_site_fract_x
_atom_site_fract_y
_atom_site_fract_z
_atom_site_occupancy
Pm1 Pm 0.958 0.458 0.915 1
Pm2 Pm 0.542 0.042 0.085 1
Pm3 Pm 0.757 0.757 0.513 1
Pm4 Pm 0.243 0.243 0.487 1
Te1 Te 0.500 0.500 0.000 1
C1 C 0.750 0.250 0.500 1
Se1 Se 0.250 0.750 0.500 1
Se2 Se 0.000 0.000 0.000 1
```

=====

[3]
NaHg2Pb6: relaxed, PBE.

Values from the calculation:
The calculation puts the formation energy from the elements at 0.00 eV per atom.

Structure (CIF):
```
data_NaHg2Pb6
_chemical_formula_sum 'Na1 Hg2 Pb6'
_cell_length_a 3.608
_cell_length_b 3.608
_cell_length_c 24.134
_cell_angle_alpha 90.00
_cell_angle_beta 90.00
_cell_angle_gamma 120.00
_symmetry_space_group_name_H-M 'P 1'
_symmetry_Int_Tables_number 1
loop_
_symmetry_equiv_pos_as_xyz
'x,y,z'
loop_
_atom_site_label
_atom_site_type_symbol
_atom_site_fract_x
_atom_site_fract_y
_atom_site_fract_z
_atom_site_occupancy
Na1 Na 0.333 0.667 0.000 1
Hg1 Hg 0.667 0.333 0.328 1
Hg2 Hg 0.667 0.333 0.672 1
Pb1 Pb 0.667 0.333 0.890 1
Pb2 Pb 0.333 0.667 0.433 1
Pb3 Pb 0.333 0.667 0.779 1
Pb4 Pb 0.333 0.667 0.221 1
Pb5 Pb 0.333 0.667 0.567 1
Pb6 Pb 0.667 0.333 0.110 1
```